# TbHo2N3 PBE-GGA relaxed
data_TbHo2N3
_chemical_formula_sum 'Tb4 Ho8 N12'
_symmetry_space_group_name_H-M 'P n m a'
_symmetry_Int_Tables_number 62
_symmetry_space_group_name_Hall '-P 2ac 2n'
_cell_length_a 6.933
_cell_length_b 4.901
_cell_length_c 10.402
_cell_angle_alpha 90.00
_cell_angle_beta 90.00
_cell_angle_gamma 90.00
loop_
_atom_site_label
_atom_site_type_symbol
_atom_site_fract_x
_atom_site_fract_y
_atom_site_fract_z
_atom_site_occupancy
Tb1 Tb 0.125 0.250 0.084 1
Ho1 Ho 0.125 0.250 0.417 1
Ho2 Ho 0.125 0.250 0.750 1
N1 N 0.123 0.750 0.416 1
N2 N 0.125 0.750 0.750 1
N3 N 0.127 0.750 0.084 1
# ρ, g cm⁻³: 10.0
# Raw total energy, Ry/atom: -0.601
# Formation energy (no corrections), eV per atom: -1.715

=====

# La4GeBr3 PBE-GGA relaxed
data_La4GeBr3
_chemical_formula_sum 'La8 Ge2 Br6'
_symmetry_space_group_name_H-M 'C m m m'
_symmetry_Int_Tables_number 65
_symmetry_space_group_name_Hall '-C 2 2'
_cell_length_a 8.602
_cell_length_b 12.364
_cell_length_c 4.446
_cell_angle_alpha 90.00
_cell_angle_beta 90.00
_cell_angle_gamma 90.00
loop_
_atom_site_label
_atom_site_type_symbol
_atom_site_fract_x
_atom_site_fract_y
_atom_site_fract_z
_atom_site_occupancy
La1 La 0.000 0.241 0.000 1
La2 La 0.233 0.000 0.500 1
Ge1 Ge 0.000 0.000 0.000 1
Br1 Br 0.000 0.500 0.000 1
Br2 Br 0.250 0.250 0.500 1
# ρ, g cm⁻³: 6.1
# Raw total energy, Ry/atom: -0.362
# Formation energy (no corrections), eV per atom: -1.262

=====

# Eu3Er PBE-GGA relaxed
data_Eu3Er
_chemical_formula_sum 'Eu6 Er2'
_symmetry_space_group_name_H-M 'P 63/m m c'
_symmetry_Int_Tables_number 194
_symmetry_space_group_name_Hall '-P 6c 2c'
_cell_length_a 7.6028
_cell_length_b 7.6028
_cell_length_c 6.1036
_cell_angle_alpha 90.00
_cell_angle_beta 90.00
_cell_angle_gamma 120.00
loop_
_atom_site_label
_atom_site_type_symbol
_atom_site_fract_x
_atom_site_fract_y
_atom_site_fract_z
_atom_site_occupancy
Eu1 Eu 0.1699 0.3399 0.2500 1
Er1 Er 0.3333 0.6667 0.7500 1
# ρ, g cm⁻³: 6.8
# Raw total energy, Ry/atom: -0.643
# Formation energy, eV per atom: 0.096

=====

# Fe21B6W2 PBE-GGA relaxed
data_Fe21B6W2
_chemical_formula_sum 'Fe84 B24 W8'
_symmetry_space_group_name_H-M 'F m -3 m'
_symmetry_Int_Tables_number 225
_symmetry_space_group_name_Hall '-F 4 2 3'
_cell_length_a 10.599
_cell_length_b 10.599
_cell_length_c 10.599
_cell_angle_alpha 90.00
_cell_angle_beta 90.00
_cell_angle_gamma 90.00
loop_
_atom_site_label
_atom_site_type_symbol
_atom_site_fract_x
_atom_site_fract_y
_atom_site_fract_z
_atom_site_occupancy
Fe1 Fe 0.000 0.000 0.000 1
Fe2 Fe 0.000 0.171 0.171 1
Fe3 Fe 0.118 0.118 0.382 1
B1 B 0.000 0.000 0.275 1
W1 W 0.250 0.250 0.250 1
# ρ, g cm⁻³: 9.0
# Raw total energy, Ry/atom: -0.634
# Formation energy, eV per atom: -0.217

=====

What did the first record say?
# TbHo2N3 PBE-GGA relaxed
data_TbHo2N3
_chemical_formula_sum 'Tb4 Ho8 N12'
_symmetry_space_group_name_H-M 'P n m a'
_symmetry_Int_Tables_number 62
_symmetry_space_group_name_Hall '-P 2ac 2n'
_cell_length_a 6.933
_cell_length_b 4.901
_cell_length_c 10.402
_cell_angle_alpha 90.00
_cell_angle_beta 90.00
_cell_angle_gamma 90.00
loop_
_atom_site_label
_atom_site_type_symbol
_atom_site_fract_x
_atom_site_fract_y
_atom_site_fract_z
_atom_site_occupancy
Tb1 Tb 0.125 0.250 0.084 1
Ho1 Ho 0.125 0.250 0.417 1
Ho2 Ho 0.125 0.250 0.750 1
N1 N 0.123 0.750 0.416 1
N2 N 0.125 0.750 0.750 1
N3 N 0.127 0.750 0.084 1
# ρ, g cm⁻³: 10.0
# Raw total energy, Ry/atom: -0.601
# Formation energy (no corrections), eV per atom: -1.715

=====

> Which of these has the lowest ρ?

La4GeBr3